A plane-wave DFT calculation with PBE was carried out for a relaxed HoReS2 crystal.

```
HoReS2
1.0
1.653 0.954 8.513
-1.653 0.954 8.513
0.000 -1.909 8.513
Ho Re S
1 1 2
direct
0.000 0.000 0.000
0.500 0.500 0.500
0.107 0.107 0.107
0.893 0.893 0.893
```

Values from the calculation:
As for the uncorrected formation energy: -209 meV/atom. The calculation puts the total magnetic moment at 0.0 Bohr magnetons per cell. As for the crystal system: trigonal. Its space group is R-3m.

---

A plane-wave DFT calculation with PBE was carried out for a relaxed ZrGa2Pd crystal.

```
ZrGa2Pd
1.0
0.000 3.241 3.241
3.241 0.000 3.241
3.241 3.241 0.000
Zr Ga Pd
1 2 1
direct
0.000 0.000 0.000
0.250 0.250 0.250
0.750 0.750 0.750
0.500 0.500 0.500
```

Values from the calculation:
For the energy of formation, the calculation gives -46 kJ per mole of atoms. The calculation puts the total magnetic moment at 0.0 Bohr magnetons per cell. As for the crystal system: cubic. Its space group is Fm-3m.

---

A plane-wave DFT calculation with PBE was carried out for a relaxed Nd2Er4In crystal.

```
Nd2Er4In
1.0
1.804 1.042 19.502
-1.804 1.042 19.502
0.000 -2.083 19.502
Nd Er In
2 4 1
direct
0.194 0.194 0.194
0.806 0.806 0.806
0.091 0.091 0.091
0.291 0.291 0.291
0.709 0.709 0.709
0.909 0.909 0.909
0.000 0.000 0.000
```

Values from the calculation:
For the energy of formation, the calculation gives -6 kJ per mole of atoms. As for the energy above the most stable polymorph in this dataset: 0 meV per atom. The calculation puts the total magnetic moment at 0.2 Bohr magnetons per cell. As for the crystal system: trigonal. Its space group is R-3m.

---

Number 1: theoretical density 8.6 g/cm³. Number 2: theoretical density 8.2 g/cm³. Number 3: theoretical density 8.1 g/cm³.